No. 1
Material: TbLuCdIn
Method: DFT, PBE
State: optimized geometry

The structure in POSCAR format:
```
TbLuCdIn
1.0
0.0000 3.7213 3.7213
3.7213 0.0000 3.7213
3.7213 3.7213 0.0000
Tb Lu Cd In
1 1 1 1
Direct
0.0000 0.0000 0.0000
0.5000 0.5000 0.5000
0.2500 0.2500 0.2500
0.7500 0.7500 0.7500
```

## Properties
E_form   -0.38 eV/atom
Crystal system   cubic

=====

No. 2
Material: LaH3Ir
Method: DFT, PBE
State: optimized geometry

The structure in POSCAR format:
```
LaH3Ir
1.0
3.8011 0.0000 0.0000
0.0000 3.8011 0.0000
0.0000 0.0000 3.8011
La H Ir
1 3 1
Direct
0.0000 0.0000 0.0000
0.0000 0.5000 0.5000
0.5000 0.0000 0.5000
0.5000 0.5000 0.0000
0.5000 0.5000 0.5000
```

## Properties
Final energy   -26.379 eV per formula unit
Crystal system   cubic

=====

No. 3
Material: YMnRe2
Method: DFT, PBE
State: optimized geometry

The structure in POSCAR format:
```
YMnRe2
1.0
4.8134 -1.5984 0.0000
4.8134 1.5984 0.0000
-1.7189 0.0000 4.6790
Y Mn Re
1 1 2
Direct
0.0000 0.0000 0.0000
0.7796 0.7796 0.3263
0.2227 0.2227 0.6761
0.5032 0.5032 0.5020
```

## Properties
E_form   0.36 eV/atom
Crystal system   monoclinic

=====

No. 4
Material: Co3Re2
Method: DFT, PBE
State: optimized geometry

The structure in POSCAR format:
```
Co3Re2
1.0
6.4714 -2.2566 0.0000
6.4714 2.2566 0.0000
0.0000 0.0000 4.1665
Co Re
6 4
Direct
0.0398 0.3645 0.2500
0.1620 0.8380 0.7500
0.3645 0.0398 0.7500
0.6355 0.9602 0.2500
0.8380 0.1620 0.2500
0.9602 0.6355 0.7500
0.2189 0.5745 0.2500
0.4255 0.7811 0.2500
0.5745 0.2189 0.7500
0.7811 0.4255 0.7500
```

## Properties
E_form   -0.04 eV/atom
Crystal system   orthorhombic

=====

No. 5
Material: NdCuPb
Method: DFT, PBE
State: optimized geometry

The structure in POSCAR format:
```
NdCuPb
1.0
4.6709 0.0000 0.0000
-2.3355 4.0452 0.0000
0.0000 0.0000 3.9176
Nd Cu Pb
1 1 1
Direct
0.0000 0.0000 0.0000
0.3333 0.6667 0.5000
0.6667 0.3333 0.5000
```

## Properties
E_form   -0.33 eV/atom
Crystal system   hexagonal

=====

No. 6
Material: ScSi3Ru3
Method: DFT, PBE
State: optimized geometry

The structure in POSCAR format:
```
ScSi3Ru3
1.0
6.4391 0.0000 0.0000
0.0000 6.4391 0.0000
0.0000 0.0000 6.4391
Sc Si Ru
2 6 6
Direct
0.0000 0.0000 0.0000
0.5000 0.5000 0.5000
0.0000 0.2500 0.5000
0.0000 0.7500 0.5000
0.2500 0.5000 0.0000
0.5000 0.0000 0.2500
0.5000 0.0000 0.7500
0.7500 0.5000 0.0000
0.0000 0.5000 0.2500
0.0000 0.5000 0.7500
0.2500 0.0000 0.5000
0.5000 0.2500 0.0000
0.5000 0.7500 0.0000
0.7500 0.0000 0.5000
```

## Properties
Formation energy without anion corrections   11 meV/atom
Crystal system   cubic

=====

No. 7
Material: Ag2SCl
Method: DFT, PBE
State: optimized geometry

The structure in POSCAR format:
```
Ag2SCl
1.0
1.8598 1.0737 6.8315
-1.8598 1.0737 6.8315
0.0000 -2.1475 6.8315
Ag S Cl
2 1 1
Direct
0.0000 0.0000 0.0000
0.1868 0.1868 0.1868
0.5944 0.5944 0.5944
0.4220 0.4220 0.4220
```

## Properties
Formation energy without anion corrections   -89 meV/atom
Crystal system   trigonal

=====

No. 8
Material: ThH4I5
Method: DFT, PBE
State: optimized geometry

The structure in POSCAR format:
```
ThH4I5
1.0
7.0952 0.0000 0.0000
-2.9829 6.4975 0.0000
-0.5369 -3.4704 7.8798
Th H I
1 4 5
Direct
0.0000 0.0000 0.0000
0.0029 0.3881 0.7377
0.1686 0.8903 0.1201
0.2973 0.0516 0.9121
0.5829 0.6481 0.2482
0.1666 0.2584 0.7578
0.2382 0.4464 0.3054
0.5637 0.0029 0.9647
0.8237 0.5412 0.6870
0.8416 0.7307 0.2357
```

## Properties
Final energy   -30.944 eV per formula unit
Crystal system   triclinic

=====

Computed V, in the same sequence as the records: 25.77; 10.98; 18.00; 12.17; 24.67; 19.07; 20.46; 36.33 Å³/atom.